# GGA-PBE Er2CdGe2Rh5, optimized geometry
data_Er2CdGe2Rh5
_chemical_formula_sum 'Er4 Cd2 Ge4 Rh10'
_symmetry_space_group_name_H-M 'P 1'
_symmetry_Int_Tables_number 1
_cell_length_a 3.609
_cell_length_b 9.774
_cell_length_c 9.774
_cell_angle_alpha 90.00
_cell_angle_beta 90.00
_cell_angle_gamma 90.00
loop_
_symmetry_equiv_pos_as_xyz
'x,y,z'
loop_
_atom_site_label
_atom_site_fract_x
_atom_site_fract_y
_atom_site_fract_z
Er1 0.000 0.674 0.174
Er2 0.000 0.326 0.826
Er3 0.000 0.174 0.326
Er4 0.000 0.826 0.674
Cd1 0.000 0.000 0.000
Cd2 0.000 0.500 0.500
Ge1 0.000 0.125 0.625
Ge2 0.000 0.875 0.375
Ge3 0.000 0.625 0.875
Ge4 0.000 0.375 0.125
Rh1 0.500 0.212 0.069
Rh2 0.500 0.788 0.931
Rh3 0.500 0.069 0.788
Rh4 0.500 0.712 0.431
Rh5 0.500 0.931 0.212
Rh6 0.500 0.288 0.569
Rh7 0.500 0.569 0.712
Rh8 0.500 0.431 0.288
Rh9 0.500 0.500 0.000
Rh10 0.500 0.000 0.500
# Symmetry   P4/mbm (127)
# Formation energy   -0.767 eV per atom

***

# GGA-PBE TbErCdGe, optimized geometry
data_TbErCdGe
_chemical_formula_sum 'Tb1 Er1 Cd1 Ge1'
_symmetry_space_group_name_H-M 'P 1'
_symmetry_Int_Tables_number 1
_cell_length_a 5.132
_cell_length_b 5.132
_cell_length_c 5.132
_cell_angle_alpha 60.00
_cell_angle_beta 60.00
_cell_angle_gamma 60.00
loop_
_symmetry_equiv_pos_as_xyz
'x,y,z'
loop_
_atom_site_label
_atom_site_fract_x
_atom_site_fract_y
_atom_site_fract_z
Ge1 0.250 0.250 0.250
Cd1 0.750 0.750 0.750
Tb1 0.000 0.000 0.000
Er1 0.500 0.500 0.500
# Symmetry   F-43m (216)
# Formation energy   -0.463 eV per atom

***

# GGA-PBE Er4Cd2H, optimized geometry
data_Er4Cd2H
_chemical_formula_sum 'Er4 Cd2 H1'
_symmetry_space_group_name_H-M 'P 1'
_symmetry_Int_Tables_number 1
_cell_length_a 4.684
_cell_length_b 4.684
_cell_length_c 8.451
_cell_angle_alpha 73.91
_cell_angle_beta 73.91
_cell_angle_gamma 90.00
loop_
_symmetry_equiv_pos_as_xyz
'x,y,z'
loop_
_atom_site_label
_atom_site_fract_x
_atom_site_fract_y
_atom_site_fract_z
H1 0.000 0.000 0.000
Cd1 0.632 0.632 0.736
Cd2 0.368 0.368 0.264
Er1 0.824 0.824 0.352
Er2 0.176 0.176 0.648
Er3 0.000 0.500 0.000
Er4 0.500 0.000 0.000
# Symmetry   I4/mmm (139)

***

# GGA-PBE Er12Cd3H5, optimized geometry
data_Er12Cd3H5
_chemical_formula_sum 'Er48 Cd12 H20'
_symmetry_space_group_name_H-M 'P 1'
_symmetry_Int_Tables_number 1
_cell_length_a 13.321
_cell_length_b 13.321
_cell_length_c 13.321
_cell_angle_alpha 109.47
_cell_angle_beta 109.47
_cell_angle_gamma 109.47
loop_
_symmetry_equiv_pos_as_xyz
'x,y,z'
loop_
_atom_site_label
_atom_site_fract_x
_atom_site_fract_y
_atom_site_fract_z
H1 0.125 0.375 0.250
H2 0.000 0.500 0.000
H3 0.000 0.000 0.000
H4 0.375 0.250 0.125
H5 0.500 0.000 0.500
H6 0.500 0.500 0.000
H7 0.125 0.750 0.375
H8 0.750 0.125 0.875
H9 0.750 0.625 0.375
H10 0.375 0.125 0.750
H11 0.625 0.875 0.250
H12 0.500 0.500 0.500
H13 0.500 0.000 0.000
H14 0.000 0.000 0.500
H15 0.250 0.375 0.625
H16 0.250 0.875 0.125
H17 0.000 0.500 0.500
H18 0.875 0.250 0.625
H19 0.625 0.750 0.875
H20 0.875 0.625 0.750
Cd1 0.750 0.375 0.125
Cd2 0.875 0.750 0.125
Cd3 0.375 0.750 0.625
Cd4 0.250 0.125 0.375
Cd5 0.875 0.125 0.250
Cd6 0.375 0.625 0.250
Cd7 0.625 0.375 0.750
Cd8 0.125 0.875 0.750
Cd9 0.750 0.875 0.625
Cd10 0.625 0.250 0.375
Cd11 0.125 0.250 0.875
Cd12 0.250 0.625 0.875
Er1 0.704 0.107 0.011
Er2 0.307 0.511 0.403
Er3 0.989 0.393 0.296
Er4 0.511 0.204 0.107
Er5 0.597 0.704 0.693
Er6 0.989 0.597 0.193
Er7 0.307 0.796 0.403
Er8 0.097 0.903 0.107
Er9 0.597 0.989 0.693
Er10 0.704 0.597 0.193
Er11 0.796 0.489 0.393
Er12 0.807 0.903 0.011
Er13 0.107 0.704 0.511
Er14 0.393 0.403 0.097
Er15 0.097 0.903 0.393
Er16 0.403 0.107 0.597
Er17 0.097 0.193 0.204
Er18 0.489 0.693 0.097
Er19 0.807 0.903 0.296
Er20 0.107 0.403 0.097
Er21 0.393 0.989 0.796
Er22 0.597 0.607 0.403
Er23 0.903 0.807 0.511
Er24 0.796 0.307 0.903
Er25 0.403 0.393 0.597
Er26 0.097 0.193 0.489
Er27 0.204 0.693 0.097
Er28 0.193 0.097 0.704
Er29 0.607 0.011 0.204
Er30 0.893 0.597 0.903
Er31 0.511 0.307 0.903
Er32 0.597 0.893 0.403
Er33 0.903 0.807 0.796
Er34 0.903 0.097 0.607
Er35 0.893 0.296 0.489
Er36 0.193 0.097 0.989
Er37 0.607 0.597 0.903
Er38 0.403 0.011 0.307
Er39 0.296 0.403 0.807
Er40 0.204 0.511 0.607
Er41 0.903 0.097 0.893
Er42 0.693 0.204 0.597
Er43 0.489 0.796 0.893
Er44 0.011 0.403 0.807
Er45 0.403 0.296 0.307
Er46 0.011 0.607 0.704
Er47 0.693 0.489 0.597
Er48 0.296 0.893 0.989
# Symmetry   Ia-3d (230)

***

# GGA-PBE Er2CdH, optimized geometry
data_Er2CdH
_chemical_formula_sum 'Er2 Cd1 H1'
_symmetry_space_group_name_H-M 'P 1'
_symmetry_Int_Tables_number 1
_cell_length_a 3.557
_cell_length_b 3.557
_cell_length_c 7.984
_cell_angle_alpha 77.13
_cell_angle_beta 77.13
_cell_angle_gamma 60.00
loop_
_symmetry_equiv_pos_as_xyz
'x,y,z'
loop_
_atom_site_label
_atom_site_fract_x
_atom_site_fract_y
_atom_site_fract_z
H1 0.000 0.000 0.000
Cd1 0.500 0.500 0.500
Er1 0.275 0.275 0.174
Er2 0.725 0.725 0.826
# Symmetry   R-3m (166)

***

# GGA-PBE ErCdH6Ir2, optimized geometry
data_ErCdH6Ir2
_chemical_formula_sum 'Er2 Cd2 H12 Ir4'
_symmetry_space_group_name_H-M 'P 1'
_symmetry_Int_Tables_number 1
_cell_length_a 6.119
_cell_length_b 6.119
_cell_length_c 5.597
_cell_angle_alpha 99.85
_cell_angle_beta 99.85
_cell_angle_gamma 102.49
loop_
_symmetry_equiv_pos_as_xyz
'x,y,z'
loop_
_atom_site_label
_atom_site_fract_x
_atom_site_fract_y
_atom_site_fract_z
Er1 0.156 0.844 0.250
Er2 0.844 0.156 0.750
Cd1 0.619 0.381 0.250
Cd2 0.381 0.619 0.750
H1 0.970 0.444 0.110
H2 0.556 0.030 0.390
H3 0.030 0.556 0.890
H4 0.444 0.970 0.610
H5 0.171 0.169 0.068
H6 0.831 0.829 0.432
H7 0.829 0.831 0.932
H8 0.169 0.171 0.568
H9 0.310 0.533 0.355
H10 0.467 0.690 0.145
H11 0.690 0.467 0.645
H12 0.533 0.310 0.855
Ir1 0.319 0.079 0.823
Ir2 0.921 0.681 0.677
Ir3 0.681 0.921 0.177
Ir4 0.079 0.319 0.323
# Symmetry   C2/c (15)

***

| no. | VASP energy (eV/atom) | total magnetization (μB/f.u.) |
| --- | --- | --- |
| 1 | -6.370 | 0.00 |
| 2 | -4.144 | 0.00 |
| 3 | -3.515 | 0.00 |
| 4 | -3.906 | 0.00 |
| 5 | -3.596 | 0.00 |
| 6 | -4.576 | 0.00 |